This record from Alexandria describes crystalline LiBeMoO4 at its relaxed geometry. The functional is GGA+U.

The structure in POSCAR format:
```
LiBeMoO4
1.0
5.178 0.065 0.000
-2.020 4.768 0.000
0.000 0.000 6.045
Li O Be Mo
2 8 2 2
direct
0.500 0.500 0.000
0.500 0.500 0.500
0.751 0.249 0.526
0.249 0.751 0.474
0.204 0.230 0.750
0.770 0.796 0.750
0.249 0.751 0.026
0.230 0.204 0.250
0.796 0.770 0.250
0.751 0.249 0.974
0.858 0.142 0.750
0.142 0.858 0.250
0.845 0.155 0.250
0.155 0.845 0.750
```

Properties
- ρ (g/cm3) = 3.89
- symmetry = No. 63
- VASP energy (eV/cell) = -91.91
- size of the total moment (μB per formula unit) = 1.00